Compound: SrPbBr
Source: the Alexandria database
Functional: PBE
Structure: optimized geometry Values from VASP.

Properties
**Total moment**: 0.0000 μB/atom
**E_form (uncorrected)**: -27.6 kcal/mol of atoms
**DFT total energy**: -21.30 eV for the cell shown
**Volume**: 37.2 A^3/atom
**Symmetry**: R-3m, No. 166

Quantum ESPRESSO input file:
```
&SYSTEM
  ibrav = 0, nat = 6, ntyp = 3
/
ATOMIC_SPECIES
Pb 207.20 Pb.upf
Sr 87.62 Sr.upf
Br 79.90 Br.upf
CELL_PARAMETERS angstrom
4.751 0.000 0.000
2.376 4.115 0.000
2.376 1.372 11.422
ATOMIC_POSITIONS crystal
Pb 0.854 0.854 0.439
Pb 0.146 0.146 0.561
Sr 0.581 0.581 0.258
Sr 0.419 0.419 0.742
Br 0.289 0.289 0.132
Br 0.711 0.711 0.868
```

---

Compound: SrPbBr2
Source: the Alexandria database
Functional: PBE
Structure: optimized geometry Values from VASP.

Properties
**Total moment**: 0.0000 μB/atom
**E_form (uncorrected)**: -27.4 kcal/mol of atoms
**DFT total energy**: -13.49 eV for the cell shown
**Volume**: 41.6 A^3/atom
**Symmetry**: R-3m, No. 166

Quantum ESPRESSO input file:
```
&SYSTEM
  ibrav = 0, nat = 4, ntyp = 3
/
ATOMIC_SPECIES
Sr 87.62 Sr.upf
Br 79.90 Br.upf
Pb 207.20 Pb.upf
CELL_PARAMETERS angstrom
-11.307 1.478 0.473
-10.751 -1.110 3.668
-10.196 2.970 4.182
ATOMIC_POSITIONS crystal
Sr 0.500 0.500 0.500
Br 0.112 0.112 0.112
Br 0.888 0.888 0.888
Pb 0.000 0.000 0.000
```

---

Compound: Sr2PbBr
Source: the Alexandria database
Functional: PBE
Structure: optimized geometry Values from VASP.

Properties
**Total moment**: 0.0000 μB/atom
**E_form (uncorrected)**: -24.7 kcal/mol of atoms
**DFT total energy**: -13.04 eV for the cell shown
**Volume**: 38.6 A^3/atom
**Symmetry**: P2/m, No. 10

Quantum ESPRESSO input file:
```
&SYSTEM
  ibrav = 0, nat = 4, ntyp = 3
/
ATOMIC_SPECIES
Sr 87.62 Sr.upf
Br 79.90 Br.upf
Pb 207.20 Pb.upf
CELL_PARAMETERS angstrom
4.000 0.000 0.000
0.000 4.401 -0.033
0.000 0.074 8.778
ATOMIC_POSITIONS crystal
Sr 0.000 0.251 0.533
Sr 0.000 0.249 0.967
Br 0.500 0.250 0.250
Pb 0.500 0.750 0.750
```

---

Compound: SrPbBr2
Source: the Alexandria database
Functional: PBE
Structure: optimized geometry Values from VASP.

Properties
**Total moment**: 0.0000 μB/atom
**E_form (uncorrected)**: -24.8 kcal/mol of atoms
**DFT total energy**: -13.03 eV for the cell shown
**Volume**: 33.1 A^3/atom
**Symmetry**: Imm2, No. 44

Quantum ESPRESSO input file:
```
&SYSTEM
  ibrav = 0, nat = 4, ntyp = 3
/
ATOMIC_SPECIES
Br 79.90 Br.upf
Pb 207.20 Pb.upf
Sr 87.62 Sr.upf
CELL_PARAMETERS angstrom
-3.283 -6.248 -2.391
2.535 -7.007 0.090
-1.605 6.310 3.625
ATOMIC_POSITIONS crystal
Br 0.763 0.263 0.500
Br 0.041 0.041 0.000
Pb 0.474 0.474 0.000
Sr 0.223 0.723 0.500
```

---

Compound: Sr2PbBr
Source: the Alexandria database
Functional: PBE
Structure: optimized geometry Values from VASP.

Properties
**Total moment**: 0.0000 μB/atom
**E_form (uncorrected)**: -24.4 kcal/mol of atoms
**DFT total energy**: -12.99 eV for the cell shown
**Volume**: 36.8 A^3/atom
**Symmetry**: P4mm, No. 99

Quantum ESPRESSO input file:
```
&SYSTEM
  ibrav = 0, nat = 4, ntyp = 3
/
ATOMIC_SPECIES
Sr 87.62 Sr.upf
Br 79.90 Br.upf
Pb 207.20 Pb.upf
CELL_PARAMETERS angstrom
-5.649 -1.644 1.449
0.987 -3.850 -0.518
1.603 -0.368 5.832
ATOMIC_POSITIONS crystal
Sr 0.000 0.225 0.875
Sr 0.500 0.224 0.375
Br 0.000 0.318 0.375
Pb 0.500 0.733 0.875
```

---

Compound: SrPbBr
Source: the Alexandria database
Functional: PBE
Structure: optimized geometry Values from VASP.

Properties
**Total moment**: 0.2513 μB/atom
**E_form (uncorrected)**: -19.0 kcal/mol of atoms
**DFT total energy**: -9.53 eV for the cell shown
**Volume**: 40.9 A^3/atom
**Symmetry**: P3m1, No. 156

Quantum ESPRESSO input file:
```
&SYSTEM
  ibrav = 0, nat = 3, ntyp = 3
/
ATOMIC_SPECIES
Br 79.90 Br.upf
Pb 207.20 Pb.upf
Sr 87.62 Sr.upf
CELL_PARAMETERS angstrom
4.098 0.000 0.000
-2.049 3.549 0.000
0.000 0.000 8.429
ATOMIC_POSITIONS crystal
Br 0.000 0.000 0.926
Pb 0.667 0.333 0.370
Sr 0.333 0.667 0.704
```

---

Compound: SrPb4Br
Source: the Alexandria database
Functional: PBE
Structure: optimized geometry Values from VASP.

Properties
**Total moment**: 0.0000 μB/atom
**E_form (uncorrected)**: -6.6 kcal/mol of atoms
**DFT total energy**: -19.90 eV for the cell shown
**Volume**: 33.5 A^3/atom
**Symmetry**: F-43m, No. 216

Quantum ESPRESSO input file:
```
&SYSTEM
  ibrav = 0, nat = 6, ntyp = 3
/
ATOMIC_SPECIES
Br 79.90 Br.upf
Sr 87.62 Sr.upf
Pb 207.20 Pb.upf
CELL_PARAMETERS angstrom
6.116 -2.201 0.968
1.796 -2.216 5.921
1.075 -6.418 0.919
ATOMIC_POSITIONS crystal
Br 0.000 0.000 0.000
Sr 0.750 0.750 0.750
Pb 0.376 0.376 0.376
Pb 0.873 0.376 0.376
Pb 0.376 0.873 0.376
Pb 0.376 0.376 0.873
```

---

Compound: SrPbBr2
Source: the Alexandria database
Functional: PBE
Structure: optimized geometry Values from VASP.

Properties
**Total moment**: 0.0000 μB/atom
**E_form (uncorrected)**: -24.4 kcal/mol of atoms
**DFT total energy**: -12.97 eV for the cell shown
**Volume**: 34.1 A^3/atom
**Symmetry**: Immm, No. 71

Quantum ESPRESSO input file:
```
&SYSTEM
  ibrav = 0, nat = 4, ntyp = 3
/
ATOMIC_SPECIES
Br 79.90 Br.upf
Sr 87.62 Sr.upf
Pb 207.20 Pb.upf
CELL_PARAMETERS angstrom
6.429 0.016 -0.014
1.578 6.232 0.014
-2.772 -4.702 3.397
ATOMIC_POSITIONS crystal
Br 0.022 0.022 0.000
Br 0.478 0.478 0.000
Sr 0.250 0.750 0.500
Pb 0.750 0.250 0.500
```

---

Compound: SrPbBr4
Source: the Alexandria database
Functional: PBE
Structure: optimized geometry Values from VASP.

Properties
**Total moment**: 0.0660 μB/atom
**E_form (uncorrected)**: -7.5 kcal/mol of atoms
**DFT total energy**: -14.03 eV for the cell shown
**Volume**: 32.5 A^3/atom
**Symmetry**: F-43m, No. 216

Quantum ESPRESSO input file:
```
&SYSTEM
  ibrav = 0, nat = 6, ntyp = 3
/
ATOMIC_SPECIES
Br 79.90 Br.upf
Sr 87.62 Sr.upf
Pb 207.20 Pb.upf
CELL_PARAMETERS angstrom
0.000 4.601 4.601
4.601 0.000 4.601
4.601 4.601 0.000
ATOMIC_POSITIONS crystal
Br 0.374 0.374 0.374
Br 0.374 0.878 0.374
Br 0.374 0.374 0.878
Br 0.878 0.374 0.374
Sr 0.000 0.000 0.000
Pb 0.750 0.750 0.750
```

---

Compound: SrPbBr2
Source: the Alexandria database
Functional: PBE
Structure: optimized geometry Values from VASP.

Properties
**Total moment**: 0.0014 μB/atom
**E_form (uncorrected)**: -27.3 kcal/mol of atoms
**DFT total energy**: -13.46 eV for the cell shown
**Volume**: 43.8 A^3/atom
**Symmetry**: R-3m, No. 166

Quantum ESPRESSO input file:
```
&SYSTEM
  ibrav = 0, nat = 4, ntyp = 3
/
ATOMIC_SPECIES
Br 79.90 Br.upf
Sr 87.62 Sr.upf
Pb 207.20 Pb.upf
CELL_PARAMETERS angstrom
12.016 0.045 0.027
11.286 4.123 0.027
11.286 2.019 3.595
ATOMIC_POSITIONS crystal
Br 0.032 0.032 0.032
Br 0.468 0.468 0.468
Sr 0.750 0.750 0.750
Pb 0.250 0.250 0.250
```

---

Compound: SrPb2Br6
Source: the Alexandria database
Functional: PBE
Structure: optimized geometry Values from VASP.

Properties
**Total moment**: 0.0000 μB/atom
**E_form (uncorrected)**: -30.3 kcal/mol of atoms
**DFT total energy**: -30.97 eV for the cell shown
**Volume**: 40.2 A^3/atom
**Symmetry**: C2/m, No. 12

Quantum ESPRESSO input file:
```
&SYSTEM
  ibrav = 0, nat = 9, ntyp = 3
/
ATOMIC_SPECIES
Br 79.90 Br.upf
Sr 87.62 Sr.upf
Pb 207.20 Pb.upf
CELL_PARAMETERS angstrom
4.426 0.000 -1.014
-0.367 8.379 -1.601
-0.112 0.503 9.676
ATOMIC_POSITIONS crystal
Br 0.332 0.420 0.664
Br 0.996 0.756 0.992
Br 0.004 0.244 0.008
Br 0.335 0.910 0.671
Br 0.665 0.090 0.329
Br 0.668 0.580 0.336
Sr 0.500 0.000 0.000
Pb 0.167 0.335 0.334
Pb 0.833 0.665 0.666
```

---

Compound: Sr2PbBr
Source: the Alexandria database
Functional: PBE
Structure: optimized geometry Values from VASP.

Properties
**Total moment**: 0.0000 μB/atom
**E_form (uncorrected)**: -23.7 kcal/mol of atoms
**DFT total energy**: -12.86 eV for the cell shown
**Volume**: 37.9 A^3/atom
**Symmetry**: R-3m, No. 166

Quantum ESPRESSO input file:
```
&SYSTEM
  ibrav = 0, nat = 4, ntyp = 3
/
ATOMIC_SPECIES
Sr 87.62 Sr.upf
Br 79.90 Br.upf
Pb 207.20 Pb.upf
CELL_PARAMETERS angstrom
-3.336 2.805 7.457
-6.804 0.672 5.277
-3.674 -1.799 7.607
ATOMIC_POSITIONS crystal
Sr 0.003 0.003 0.003
Sr 0.497 0.497 0.497
Br 0.250 0.250 0.250
Pb 0.750 0.750 0.750
```

---

Compound: Sr2PbBr2
Source: the Alexandria database
Functional: PBE
Structure: optimized geometry Values from VASP.

Properties
**Total moment**: 0.0000 μB/atom
**E_form (uncorrected)**: -26.0 kcal/mol of atoms
**DFT total energy**: -16.05 eV for the cell shown
**Volume**: 35.4 A^3/atom
**Symmetry**: I4/mmm, No. 139

Quantum ESPRESSO input file:
```
&SYSTEM
  ibrav = 0, nat = 5, ntyp = 3
/
ATOMIC_SPECIES
Br 79.90 Br.upf
Sr 87.62 Sr.upf
Pb 207.20 Pb.upf
CELL_PARAMETERS angstrom
-2.511 0.400 5.888
-5.729 -2.367 -1.647
5.522 -3.013 -1.251
ATOMIC_POSITIONS crystal
Br 0.325 0.325 0.000
Br 0.675 0.675 0.000
Sr 0.250 0.750 0.500
Sr 0.750 0.250 0.500
Pb 0.000 0.000 0.000
```

---

Compound: SrPbBr
Source: the Alexandria database
Functional: PBE
Structure: optimized geometry Values from VASP.

Properties
**Total moment**: 0.0000 μB/atom
**E_form (uncorrected)**: -15.0 kcal/mol of atoms
**DFT total energy**: -9.02 eV for the cell shown
**Volume**: 35.3 A^3/atom
**Symmetry**: P-6m2, No. 187

Quantum ESPRESSO input file:
```
&SYSTEM
  ibrav = 0, nat = 3, ntyp = 3
/
ATOMIC_SPECIES
Br 79.90 Br.upf
Sr 87.62 Sr.upf
Pb 207.20 Pb.upf
CELL_PARAMETERS angstrom
-0.476 2.562 -4.644
-4.065 -0.054 3.441
1.502 3.599 1.831
ATOMIC_POSITIONS crystal
Br 0.000 0.000 0.833
Sr 0.333 0.667 0.834
Pb 0.667 0.333 0.333
```